Density functional theory data (GGA-PBE) for Cd3HgPd after structural relaxation.

Cell lengths 6.1618, 7.7101, 9.5352 Å; angles 90.00, 106.61, 90.00 degrees
Positions (direct):
Cd (0.0711, 0.1558, 0.1017)
Cd (0.0711, 0.3442, 0.6017)
Cd (0.1378, 0.0423, 0.4016)
Cd (0.1378, 0.4577, 0.9016)
Cd (0.4072, 0.0157, 0.7249)
Cd (0.4072, 0.4843, 0.2249)
Cd (0.5928, 0.5157, 0.7751)
Cd (0.5928, 0.9843, 0.2751)
Cd (0.8622, 0.5423, 0.0984)
Cd (0.8622, 0.9577, 0.5984)
Cd (0.9289, 0.6558, 0.3983)
Cd (0.9289, 0.8442, 0.8983)
Hg (0.4596, 0.7134, 0.4922)
Hg (0.4596, 0.7866, 0.9922)
Hg (0.5404, 0.2134, 0.0078)
Hg (0.5404, 0.2866, 0.5078)
Pd (0.1849, 0.6956, 0.6936)
Pd (0.1849, 0.8044, 0.1936)
Pd (0.8151, 0.1956, 0.8064)
Pd (0.8151, 0.3044, 0.3064)

Energy   -1.769 eV per atom
E above lowest polymorph   0.050 eV per atom
DFT formation energy   -0.12 eV/atom


Density functional theory data (GGA-PBE) for CdHg2Pd5 after structural relaxation.

Cell lengths 7.9914, 7.9914, 7.9914 Å; angles 148.66, 148.66, 44.91 degrees
Positions (direct):
Cd (0.0000, 0.0000, 0.0000)
Hg (0.2512, 0.2512, 0.0000)
Hg (0.7488, 0.7488, 0.0000)
Pd (0.1225, 0.6225, 0.5000)
Pd (0.3775, 0.8775, 0.5000)
Pd (0.5000, 0.5000, 0.0000)
Pd (0.6225, 0.1225, 0.5000)
Pd (0.8775, 0.3775, 0.5000)

Energy   -3.657 eV per atom
E above lowest polymorph   0.000 eV per atom
DFT formation energy   -0.22 eV/atom


Density functional theory data (GGA-PBE) for Cd2Hg5Pd12 after structural relaxation.

Cell lengths 8.5031, 8.5031, 9.3134 Å; angles 112.40, 112.40, 38.11 degrees
Positions (direct):
Cd (0.2477, 0.7523, 0.0000)
Cd (0.7523, 0.2477, 0.0000)
Hg (0.0000, 0.0000, 0.5000)
Hg (0.3113, 0.3113, 0.6163)
Hg (0.3373, 0.3373, 0.1266)
Hg (0.6627, 0.6627, 0.8734)
Hg (0.6887, 0.6887, 0.3837)
Pd (0.0594, 0.5752, 0.8703)
Pd (0.0971, 0.5915, 0.3897)
Pd (0.1068, 0.1068, 0.3143)
Pd (0.4085, 0.9029, 0.6103)
Pd (0.4248, 0.9406, 0.1297)
Pd (0.4910, 0.4910, 0.6402)
Pd (0.5090, 0.5090, 0.3598)
Pd (0.5752, 0.0594, 0.8703)
Pd (0.5915, 0.0971, 0.3897)
Pd (0.8932, 0.8932, 0.6857)
Pd (0.9029, 0.4085, 0.6103)
Pd (0.9406, 0.4248, 0.1297)

Energy   -3.398 eV per atom
DFT formation energy   0.06 eV/atom


Density functional theory data (GGA-PBE) for Cd3HgPd after structural relaxation.

Cell lengths 5.2544, 5.2544, 5.2544 Å; angles 90.00, 90.00, 90.00 degrees
Positions (direct):
Cd (0.0000, 0.0000, 0.5000)
Cd (0.0000, 0.5000, 0.0000)
Cd (0.5000, 0.0000, 0.0000)
Hg (0.5000, 0.5000, 0.5000)
Pd (0.0000, 0.0000, 0.0000)

Energy   -1.656 eV per atom
E above lowest polymorph   0.164 eV per atom
DFT formation energy   -0.01 eV/atom


Among the records above, which one has the highest DFT formation energy? Cd2Hg5Pd12